Ba2ZnIn2 | PBE | relaxed

a b c (Å): 7.876 7.876 5.586
angles (deg): 90.00 90.00 90.00
Atoms (fractional coordinates):
Zn  0.000  0.000  0.000
Zn  0.500  0.500  0.000
In  0.358  0.858  0.000
In  0.858  0.642  0.000
In  0.142  0.358  0.000
In  0.642  0.142  0.000
Ba  0.335  0.165  0.500
Ba  0.165  0.665  0.500
Ba  0.835  0.335  0.500
Ba  0.665  0.835  0.500

E above lowest polymorph: 147 meV/atom
E_form: -0.19 eV per atom
Crystal system: tetragonal
Mass density: 5.460 g/cm³